Mg7Si4: optimized geometry, PBE.

a = 16.0545 Å, b = 16.0545 Å, c = 6.6008 Å
α = 97.99°, β = 97.99°, γ = 15.09°
Last column: nearest neighbours and their distance in Å.
Fractional coordinates of all 22 atoms:
1 Mg 0.0000 0.0000 0.0000  2 Si 2.72-2.76, 2 Mg 3.03
2 Mg 0.0049 0.0049 0.5051  2 Si 2.87-2.89, 4 Mg 3.01-3.05
3 Mg 0.1571 0.1571 0.8458  5 Si 2.70-2.98
4 Mg 0.2783 0.2783 0.8241  1 Si 2.86, 4 Mg 3.03-3.06
5 Mg 0.2839 0.2839 0.3282  2 Si 2.64-2.75
6 Mg 0.4405 0.4405 0.1998  6 Si 2.91-2.99, 2 Mg 3.24
7 Mg 0.4566 0.4566 0.7147  6 Si 2.86-3.07, 4 Mg 3.03-3.05
8 Mg 0.5472 0.5472 0.2779  4 Si 2.80-2.82, 4 Mg 3.01-3.05
9 Mg 0.5631 0.5631 0.8035  3 Si 2.77-2.87
10 Mg 0.6422 0.6422 0.1931  5 Si 2.71-2.80
11 Mg 0.7193 0.7193 0.5329  3 Si 2.84-2.92, 1 Mg 3.08
12 Mg 0.7322 0.7322 0.0370  2 Si 2.72, 2 Mg 3.03
13 Mg 0.8272 0.8272 0.6164  6 Si 2.84-3.06, 4 Mg 3.04-3.06
14 Mg 0.8436 0.8436 0.1282  6 Si 2.89-2.98
15 Si 0.0859 0.0859 0.0938  1 Si 2.53, 5 Mg 2.72-2.80
16 Si 0.0949 0.0949 0.4806  3 Si 2.49-2.53
17 Si 0.2005 0.2005 0.2275  8 Mg 2.64-2.92
18 Si 0.3687 0.3687 0.8553  3 Si 2.53-2.75
19 Si 0.3703 0.3703 0.4396  3 Si 2.52-2.75, 1 Mg 2.75
20 Si 0.6327 0.6327 0.5951  2 Si 2.49, 4 Mg 2.71-2.77
21 Si 0.9130 0.9130 0.8901  3 Si 2.53-2.76, 1 Mg 2.76
22 Si 0.9141 0.9141 0.4726  3 Si 2.52-2.76

- density (kg/m3) = 2139
- E_form (uncorrected) (meV per atom) = 52
- SG = Cm (8)
- total DFT energy (no corrections) (eV/atom) = -2.935
- distance to the lowest polymorph of the same formula (eV per atom) = 0.035



Pr2Nd2Se2S3: optimized geometry, PBE.

a = 8.4405 Å, b = 8.4405 Å, c = 8.4405 Å
α = 141.30°, β = 141.30°, γ = 55.88°
Last column: nearest neighbours and their distance in Å.
Fractional coordinates of all 9 atoms:
1 Pr 0.0000 0.5000 0.5000  2 S 2.80
2 Pr 0.5000 0.0000 0.5000  2 S 2.80
3 Nd 0.2051 0.2051 0.0000  5 S 2.88-3.06, 1 Se 2.88
4 Nd 0.7949 0.7949 0.0000  5 S 2.88-3.06, 1 Se 2.88
5 Se 0.3983 0.3983 0.0000  1 Nd 2.88, 1 Se 3.03, 4 Pr 3.18
6 Se 0.6017 0.6017 0.0000  1 Nd 2.88, 1 Se 3.03, 4 Pr 3.18
7 S 0.0000 0.0000 0.0000  4 Pr 2.80, 2 Nd 3.06
8 S 0.2500 0.7500 0.5000  4 Nd 2.88
9 S 0.7500 0.2500 0.5000  4 Nd 2.88

- density (kg/m3) = 5870
- E_form (uncorrected) (meV per atom) = -1733
- SG = I4/mmm (139)
- total DFT energy (no corrections) (eV/atom) = -6.004



Zn2CdIr: optimized geometry, PBE.

a = 9.4884 Å, b = 9.4884 Å, c = 9.4884 Å
α = 155.79°, β = 155.79°, γ = 34.51°
Last column: nearest neighbours and their distance in Å.
Fractional coordinates of all 8 atoms:
1 Zn 0.0696 0.6250 0.9446  2 Zn 2.52, 2 Ir 2.59, 2 Cd 2.76
2 Zn 0.3750 0.3196 0.4446  2 Zn 2.52, 2 Ir 2.59, 2 Cd 2.76
3 Zn 0.6804 0.1250 0.0554  2 Zn 2.52, 2 Ir 2.59, 2 Cd 2.76
4 Zn 0.8750 0.9304 0.5554  2 Zn 2.52, 2 Ir 2.59, 2 Cd 2.76
5 Cd 0.2500 0.7500 0.5000  4 Zn 2.76, 4 Ir 2.81
6 Cd 0.5000 0.5000 0.0000  4 Zn 2.76, 4 Ir 2.81
7 Ir 0.0000 0.0000 0.0000  4 Zn 2.59, 4 Cd 2.81
8 Ir 0.7500 0.2500 0.5000  4 Zn 2.59, 4 Cd 2.81

- density (kg/m3) = 10076
- ΔH_f (0 K) (meV/atom) = 199
- SG = I-42d (122)
- total DFT energy (no corrections) (eV/atom) = -2.882



ScMo2Os: optimized geometry, PBE.

a = 5.9004 Å, b = 5.9004 Å, c = 5.9004 Å
α = 101.56°, β = 101.56°, γ = 126.81°
Last column: nearest neighbours and their distance in Å.
Fractional coordinates of all 8 atoms:
1 Sc 0.0000 0.0000 0.0000  2 Os 2.64, 4 Mo 2.94
2 Sc 0.7500 0.2500 0.5000  2 Os 2.64, 4 Mo 2.94
3 Mo 0.1667 0.6250 0.0417  2 Os 2.52, 2 Mo 2.71
4 Mo 0.3750 0.4167 0.5417  2 Os 2.52, 2 Mo 2.71
5 Mo 0.5833 0.1250 0.9583  2 Os 2.52, 2 Mo 2.71
6 Mo 0.8750 0.8333 0.4583  2 Os 2.52, 2 Mo 2.71
7 Os 0.2500 0.7500 0.5000  4 Mo 2.52, 2 Sc 2.64
8 Os 0.5000 0.5000 0.0000  4 Mo 2.52, 2 Sc 2.64

- density (kg/m3) = 9645
- ΔH_f (0 K) (meV/atom) = 495
- SG = I-42d (122)
- total DFT energy (no corrections) (eV/atom) = -9.311
- distance to the lowest polymorph of the same formula (eV per atom) = 0.609



SrRu2Rh: optimized geometry, PBE.

a = 4.7199 Å, b = 4.7199 Å, c = 5.9333 Å
α = 99.52°, β = 99.52°, γ = 36.30°
Last column: nearest neighbours and their distance in Å.
Fractional coordinates of all 4 atoms:
1 Sr 0.0000 0.0000 0.0000  2 Sr 2.94, 3 Rh 2.99-3.09, 5 Ru 3.22-3.28
2 Ru 0.5006 0.5006 0.4835  3 Ru 2.55-2.64, 2 Rh 2.69
3 Ru 0.7689 0.7689 0.3591  3 Ru 2.55-2.64, 2 Rh 2.55
4 Rh 0.2343 0.2343 0.6976  4 Ru 2.55-2.69

- density (kg/m3) = 8461
- ΔH_f (0 K) (meV/atom) = 433
- SG = Cm (8)
- total DFT energy (no corrections) (eV/atom) = -6.464
- distance to the lowest polymorph of the same formula (eV per atom) = 0.057



Tl3Ag2Br3F2: optimized geometry, PBE.

a = 13.4997 Å, b = 13.4997 Å, c = 13.4997 Å
α = 159.85°, β = 159.85°, γ = 28.65°
Last column: nearest neighbours and their distance in Å.
Fractional coordinates of all 10 atoms:
1 Tl 0.0000 0.0000 0.0000  6 Br 3.27-3.34
2 Tl 0.3542 0.3542 0.0000  1 Ag 3.31, 4 Br 3.38, 4 F 3.61
3 Tl 0.6458 0.6458 0.0000  1 Ag 3.31, 4 Br 3.38, 4 F 3.61
4 Ag 0.2277 0.2277 0.0000  4 F 2.43, 1 Br 2.69
5 Ag 0.7723 0.7723 0.0000  4 F 2.43, 1 Br 2.69
6 Br 0.1249 0.1249 0.0000  1 Ag 2.69
7 Br 0.5000 0.5000 0.0000  4 Tl 3.34
8 Br 0.8751 0.8751 0.0000  1 Ag 2.69
9 F 0.2500 0.7500 0.5000  4 Ag 2.43
10 F 0.7500 0.2500 0.5000  4 Ag 2.43

- density (kg/m3) = 6295
- E_form (uncorrected) (meV per atom) = -907
- SG = I4/mmm (139)
- total DFT energy (no corrections) (eV/atom) = -3.064



TaCuSi2: optimized geometry, PBE.

a = 4.5662 Å, b = 4.5662 Å, c = 2.8080 Å
α = 90.00°, β = 90.00°, γ = 93.73°
Last column: nearest neighbours and their distance in Å.
Fractional coordinates of all 4 atoms:
1 Ta 0.0000 0.0000 0.0000  8 Si 2.68, 2 Ta 2.81
2 Cu 0.5000 0.5000 0.0000  8 Si 2.68, 2 Cu 2.81
3 Si 0.0000 0.5000 0.5000  4 Ta 2.68, 4 Cu 2.68, 2 Si 2.81
4 Si 0.5000 0.0000 0.5000  4 Ta 2.68, 4 Cu 2.68, 2 Si 2.81

- density (kg/m3) = 8546
- E_form (uncorrected) (meV per atom) = -9
- SG = Cmmm (65)
- total DFT energy (no corrections) (eV/atom) = -6.708



CaTeRu: optimized geometry, PBE.

a = 4.8528 Å, b = 4.8528 Å, c = 4.8528 Å
α = 60.00°, β = 60.00°, γ = 60.00°
Last column: nearest neighbours and their distance in Å.
Fractional coordinates of all 3 atoms:
1 Ca 0.0000 0.0000 0.0000  4 Te 2.97, 4 Ru 2.97
2 Te 0.7500 0.7500 0.7500  4 Ca 2.97
3 Ru 0.2500 0.2500 0.2500  4 Ca 2.97

- density (kg/m3) = 5522
- E_form (uncorrected) (meV per atom) = 496
- SG = F-43m (216)
- total DFT energy (no corrections) (eV/atom) = -4.310
- distance to the lowest polymorph of the same formula (eV per atom) = 0.890



PrNd2Cl: optimized geometry, PBE.

a = 10.4833 Å, b = 10.4833 Å, c = 10.4833 Å
α = 20.54°, β = 20.54°, γ = 20.54°
Last column: nearest neighbours and their distance in Å.
Fractional coordinates of all 4 atoms:
1 Pr 0.0000 0.0000 0.0000  6 Nd 3.63, 6 Pr 3.74
2 Nd 0.2386 0.2386 0.2386  3 Cl 3.09
3 Nd 0.7614 0.7614 0.7614  3 Cl 3.09
4 Cl 0.5000 0.5000 0.5000  6 Nd 3.09

- density (kg/m3) = 6220
- E_form (uncorrected) (meV per atom) = -692
- SG = R-3m (166)
- total DFT energy (no corrections) (eV/atom) = -4.733



ThPd2Rh: optimized geometry, PBE.

a = 4.7515 Å, b = 4.7515 Å, c = 4.7515 Å
α = 60.00°, β = 60.00°, γ = 60.00°
Last column: nearest neighbours and their distance in Å.
Fractional coordinates of all 4 atoms:
1 Th 0.0000 0.0000 0.0000  8 Pd 2.91
2 Pd 0.2500 0.2500 0.2500  4 Th 2.91, 4 Rh 2.91
3 Pd 0.7500 0.7500 0.7500  4 Rh 2.91, 4 Th 2.91
4 Rh 0.5000 0.5000 0.5000  8 Pd 2.91

- density (kg/m3) = 11992
- ΔH_f (0 K) (meV/atom) = -588
- SG = Fm-3m (225)
- total DFT energy (no corrections) (eV/atom) = -6.878



Na3HgBi: optimized geometry, PBE.

a = 6.0420 Å, b = 6.0420 Å, c = 6.0420 Å
α = 90.00°, β = 90.00°, γ = 90.00°
Last column: nearest neighbours and their distance in Å.
Fractional coordinates of all 5 atoms:
1 Na 0.0000 0.0000 0.5000  2 Bi 3.02
2 Na 0.0000 0.5000 0.0000  2 Bi 3.02
3 Na 0.5000 0.0000 0.0000  2 Bi 3.02
4 Hg 0.5000 0.5000 0.5000  12 Na 4.27
5 Bi 0.0000 0.0000 0.0000  6 Na 3.02

- density (kg/m3) = 3603
- ΔH_f (0 K) (meV/atom) = -184
- SG = Pm-3m (221)
- total DFT energy (no corrections) (eV/atom) = -1.812
- distance to the lowest polymorph of the same formula (eV per atom) = 0.141



Zn2Cu7Pt2: optimized geometry, PBE.

a = 4.8025 Å, b = 4.8025 Å, c = 6.6780 Å
α = 99.73°, β = 99.73°, γ = 94.60°
Last column: nearest neighbours and their distance in Å.
Fractional coordinates of all 11 atoms:
1 Zn 0.1844 0.8156 0.0000  4 Cu 2.52-2.67, 4 Pt 2.58-2.61, 1 Zn 2.60
2 Zn 0.8156 0.1844 0.0000  4 Cu 2.52-2.67, 4 Pt 2.58-2.61, 1 Zn 2.60
3 Cu 0.0566 0.4225 0.6870  6 Cu 2.50-2.71, 1 Zn 2.52, 1 Pt 2.76
4 Cu 0.0980 0.0980 0.3604  8 Cu 2.50-2.55, 1 Pt 2.63, 2 Zn 2.67
5 Cu 0.4225 0.0566 0.6870  6 Cu 2.50-2.71, 1 Zn 2.52, 1 Pt 2.76
6 Cu 0.5000 0.5000 0.5000  2 Pt 2.54, 10 Cu 2.55-2.83
7 Cu 0.5775 0.9434 0.3130  6 Cu 2.50-2.71, 1 Zn 2.52, 1 Pt 2.76
8 Cu 0.9020 0.9020 0.6396  8 Cu 2.50-2.55, 1 Pt 2.63, 2 Zn 2.67
9 Cu 0.9434 0.5775 0.3130  6 Cu 2.50-2.71, 1 Zn 2.52, 1 Pt 2.76
10 Pt 0.3527 0.3527 0.1109  4 Cu 2.54-2.76, 4 Zn 2.58-2.61, 1 Pt 2.70
11 Pt 0.6473 0.6473 0.8891  4 Cu 2.54-2.76, 4 Zn 2.58-2.61, 1 Pt 2.70

- density (kg/m3) = 10787
- ΔH_f (0 K) (meV/atom) = -107
- SG = C2/m (12)
- total DFT energy (no corrections) (eV/atom) = -4.044